## 1
8
Lattice="3.917 0.000 0.000 0.000 5.198 0.000 0.000 0.000 9.477" Properties=species:S:1:pos:R:3 comment="MgZrCl2 GGA-PBE optimized geometry" n_ef_per_ev_atom=0.238 magmom_total_mub_per_cell=0.00 sg=Cmm2 pbc="T T T"
Mg 0.000 0.000 0.000
Mg 1.959 2.599 0.000
Zr 0.000 2.599 2.432
Zr 1.959 0.000 2.432
Cl 0.000 0.000 4.199
Cl 0.000 2.599 8.020
Cl 1.959 0.000 8.020
Cl 1.959 2.599 4.199

***

## 2
12
Lattice="3.288 0.000 0.000 -1.644 2.848 0.000 0.000 0.000 29.655" Properties=species:S:1:pos:R:3 comment="MgZrCl2 GGA-PBE optimized geometry" n_ef_per_ev_atom=0.604 magmom_total_mub_per_cell=0.00 sg=R-3m pbc="T T T"
Mg 0.000 0.000 0.000
Mg 0.000 1.899 19.770
Mg 1.644 0.949 9.885
Zr 0.000 0.000 14.828
Zr 0.000 1.899 4.943
Zr 1.644 0.949 24.713
Cl 0.000 0.000 3.089
Cl 0.000 0.000 26.566
Cl 0.000 1.899 16.681
Cl 0.000 1.899 22.859
Cl 1.644 0.949 6.796
Cl 1.644 0.949 12.974

***

Name the least stable of them. 1.

***

## 1
3
Lattice="4.647 0.000 0.000 -2.324 4.024 0.000 0.000 0.000 3.402" Properties=species:S:1:pos:R:3 comment="MgZrCl GGA-PBE optimized geometry" n_ef_per_ev_atom=0.726 magmom_total_mub_per_cell=0.00 sg=P-6m2 pbc="T T T"
Mg 0.000 0.000 0.000
Zr 2.324 1.341 1.701
Cl 0.000 2.683 1.701

***

## 2
12
Lattice="6.929 0.000 0.000 0.000 6.929 0.000 0.000 0.000 6.929" Properties=species:S:1:pos:R:3 comment="MgZrCl GGA-PBE optimized geometry" n_ef_per_ev_atom=0.938 magmom_total_mub_per_cell=11.13 sg=F-43m pbc="T T T"
Mg 0.000 0.000 0.000
Mg 0.000 3.465 3.465
Mg 3.465 0.000 3.465
Mg 3.465 3.465 0.000
Zr 1.732 1.732 1.732
Zr 1.732 5.197 5.197
Zr 5.197 1.732 5.197
Zr 5.197 5.197 1.732
Cl 0.000 0.000 3.465
Cl 0.000 3.465 0.000
Cl 3.465 0.000 0.000
Cl 3.465 3.465 3.465

***

Name the least stable of them. 2.

***

## 1
16
Lattice="6.993 0.000 0.000 0.000 11.967 0.000 -0.260 0.000 6.390" Properties=species:S:1:pos:R:3 comment="MgZrCl6 GGA-PBE optimized geometry" n_ef_per_ev_atom=0.000 magmom_total_mub_per_cell=0.00 sg=C2/m pbc="T T T"
Mg 0.000 0.000 0.000
Mg 3.496 5.983 0.000
Zr -0.130 0.000 3.195
Zr 3.366 5.983 3.195
Cl 0.780 1.685 4.798
Cl 0.780 10.282 4.798
Cl 1.360 5.983 4.682
Cl 1.877 0.000 1.709
Cl 2.456 4.298 1.592
Cl 2.456 7.669 1.592
Cl 4.276 4.298 4.798
Cl 4.276 7.669 4.798
Cl 4.856 0.000 4.682
Cl 5.373 5.983 1.709
Cl 5.953 1.685 1.592
Cl 5.953 10.282 1.592

***

## 2
8
Lattice="3.214 1.856 5.746 -3.214 1.856 5.746 0.000 -3.712 5.746" Properties=species:S:1:pos:R:3 comment="MgZrCl6 GGA-PBE optimized geometry" n_ef_per_ev_atom=0.000 magmom_total_mub_per_cell=0.00 sg=R-3 pbc="T T T"
Mg 0.000 0.000 0.000
Zr 0.000 0.000 8.619
Cl -0.908 -1.833 7.192
Cl -2.041 -0.130 10.046
Cl -1.133 1.703 7.192
Cl 1.133 -1.703 10.046
Cl 2.041 0.130 7.192
Cl 0.908 1.833 10.046

***

Name the least stable of them. 2.

***

## 1
10
Lattice="0.000 5.570 3.724 5.385 0.000 3.724 5.385 5.570 0.000" Properties=species:S:1:pos:R:3 comment="Mn2Cl3 GGA-PBE optimized geometry" n_ef_per_ev_atom=0.049 magmom_total_mub_per_cell=18.00 sg=Fdd2 pbc="T T T"
Mn 9.448 5.197 3.724
Mn 4.016 2.412 1.862
Mn 1.370 3.157 1.862
Mn 1.323 5.942 3.724
Cl 7.453 6.248 2.368
Cl 4.760 2.107 4.230
Cl 3.318 4.892 2.368
Cl 5.385 5.570 5.346
Cl 6.010 9.032 4.230
Cl 8.078 8.355 7.208

***

## 2
5
Lattice="3.750 0.000 0.000 -1.875 3.248 0.000 0.000 0.000 9.149" Properties=species:S:1:pos:R:3 comment="Mn2Cl3 GGA-PBE optimized geometry" n_ef_per_ev_atom=0.384 magmom_total_mub_per_cell=9.01 sg=P-3m1 pbc="T T T"
Mn 0.000 2.165 2.990
Mn 1.875 1.083 6.159
Cl 0.000 0.000 4.574
Cl 0.000 2.165 7.395
Cl 1.875 1.083 1.754

***

Name the least stable of them. 2.

***

## 1
10
Lattice="5.224 0.000 0.000 0.000 3.013 0.000 -0.090 0.000 12.102" Properties=species:S:1:pos:R:3 comment="MnTlMoOsCl GGA-PBE optimized geometry" n_ef_per_ev_atom=0.422 magmom_total_mub_per_cell=8.07 sg=Cm pbc="T T T"
Mn 0.000 0.000 0.000
Mn 2.612 1.507 0.000
Tl 0.913 1.507 6.656
Tl 3.524 0.000 6.656
Mo 0.006 0.000 4.032
Mo 2.618 1.507 4.032
Os 1.746 0.000 2.039
Os 4.358 1.507 2.039
Cl 1.655 0.000 10.391
Cl 4.267 1.507 10.391

***

## 2
10
Lattice="8.950 0.000 0.000 0.000 2.998 0.000 -0.805 0.000 8.105" Properties=species:S:1:pos:R:3 comment="MnTlMoOsCl GGA-PBE optimized geometry" n_ef_per_ev_atom=1.014 magmom_total_mub_per_cell=0.00 sg=Cm pbc="T T T"
Mn 0.000 0.000 0.000
Mn 4.475 1.499 0.000
Tl 0.523 0.000 4.777
Tl 4.998 1.499 4.777
Mo 2.939 0.000 6.448
Mo 7.414 1.499 6.448
Os 1.086 1.499 7.653
Os 5.561 0.000 7.653
Cl 3.038 1.499 1.701
Cl 7.513 0.000 1.701

***

## 3
10
Lattice="3.978 0.000 0.000 0.000 3.978 0.000 -1.834 0.000 11.467" Properties=species:S:1:pos:R:3 comment="MnTlMoOsCl GGA-PBE optimized geometry" n_ef_per_ev_atom=0.659 magmom_total_mub_per_cell=0.01 sg=Cm pbc="T T T"
Mn 0.000 0.000 0.000
Mn 1.989 1.989 0.000
Tl 0.155 0.000 5.285
Tl 2.144 1.989 5.285
Mo 0.155 1.989 7.845
Mo 2.144 0.000 7.845
Os 0.153 0.000 9.858
Os 2.142 1.989 9.858
Cl -0.007 1.989 1.548
Cl 1.982 0.000 1.548

***

Name the least stable of them. 2.

***

## 1
5
Lattice="3.060 0.000 0.000 0.000 3.134 0.000 -0.025 0.000 10.945" Properties=species:S:1:pos:R:3 comment="MnTlMoOsCl GGA-PBE optimized geometry" n_ef_per_ev_atom=0.652 magmom_total_mub_per_cell=4.27 sg=Pm pbc="T T T"
Mn 0.000 0.000 0.000
Tl 1.504 0.000 5.148
Mo 3.035 1.567 7.444
Os 1.505 0.000 8.802
Cl 1.530 0.000 1.776

***

## 2
5
Lattice="3.060 0.000 0.000 0.000 3.151 0.000 0.047 0.026 10.074" Properties=species:S:1:pos:R:3 comment="MnTlMoOsCl GGA-PBE optimized geometry" n_ef_per_ev_atom=0.588 magmom_total_mub_per_cell=4.16 sg=P1 pbc="T T T"
Mn 0.000 0.000 0.000
Tl 1.531 1.575 5.346
Mo 3.060 3.150 3.151
Os 1.530 1.575 1.764
Cl 1.577 3.172 8.254

***

## 3
5
Lattice="3.112 0.000 0.000 0.411 5.323 0.000 1.487 0.392 5.987" Properties=species:S:1:pos:R:3 comment="MnTlMoOsCl GGA-PBE optimized geometry" n_ef_per_ev_atom=0.489 magmom_total_mub_per_cell=2.91 sg=P1 pbc="T T T"
Mn 0.000 0.000 0.000
Tl 1.526 2.722 1.888
Mo 2.988 1.707 4.307
Os 4.570 3.230 5.441
Cl 3.364 5.337 2.424

***

Name the least stable of them. 3.

***

## 1
5
Lattice="4.658 0.000 0.000 0.000 4.658 0.000 0.000 0.000 5.011" Properties=species:S:1:pos:R:3 comment="MnMoP2Cl GGA-PBE optimized geometry" n_ef_per_ev_atom=0.624 magmom_total_mub_per_cell=5.31 sg=P4/mmm pbc="T T T"
Mn 0.000 0.000 0.000
Mo 2.329 2.329 2.505
P 0.000 2.329 2.505
P 2.329 0.000 2.505
Cl 2.329 2.329 0.000

***

## 2
5
Lattice="4.586 0.000 0.000 0.000 4.586 0.000 0.000 0.000 4.056" Properties=species:S:1:pos:R:3 comment="MnMoP2Cl GGA-PBE optimized geometry" n_ef_per_ev_atom=0.997 magmom_total_mub_per_cell=4.68 sg=P4/mmm pbc="T T T"
Mn 0.000 0.000 0.000
Mo 2.293 2.293 0.000
P 0.000 2.293 2.028
P 2.293 0.000 2.028
Cl 0.000 0.000 2.028

***

Name the least stable of them. 2.

***

## 1
5
Lattice="4.673 0.000 0.000 0.000 4.673 0.000 0.000 0.000 4.944" Properties=species:S:1:pos:R:3 comment="MnMoS2Cl GGA-PBE optimized geometry" n_ef_per_ev_atom=0.688 magmom_total_mub_per_cell=5.72 sg=P4/mmm pbc="T T T"
Mn 0.000 0.000 0.000
Mo 2.336 2.336 2.472
S 0.000 2.336 2.472
S 2.336 0.000 2.472
Cl 2.336 2.336 0.000

***

## 2
5
Lattice="4.722 0.000 0.000 0.000 4.722 0.000 0.000 0.000 4.528" Properties=species:S:1:pos:R:3 comment="MnMoS2Cl GGA-PBE optimized geometry" n_ef_per_ev_atom=0.359 magmom_total_mub_per_cell=7.87 sg=P4/mmm pbc="T T T"
Mn 0.000 0.000 0.000
Mo 2.361 2.361 2.264
S 0.000 2.361 0.000
S 2.361 0.000 0.000
Cl 0.000 0.000 2.264

***

Name the least stable of them. 2.